Here is crystalline CaBe2Cd at its relaxed geometry from Alexandria via LeMat-Bulk. Energies are from PBE-GGA.

abc: 4.4731 4.4731 3.7173
angles: 90.00 90.00 90.00
Element x y z (fractional)
Ca (0.5000, 0.0000, 0.5000)
Be (0.5000, 0.5000, 0.0000)
Be (0.0000, 0.0000, 0.0000)
Cd (0.0000, 0.5000, 0.5000)

## Properties
- energy of formation from the pure elements (eV/atom) = 0.51
- Fermi-level density of states (states/eV/f.u.) = 2.363
- symmetry = P4/mmm, No. 123

=====

Here is crystalline AcAgTe2 at its relaxed geometry from Alexandria via LeMat-Bulk. Energies are from PBE-GGA.

abc: 4.1816 5.3264 5.3264
angles: 90.00 90.00 90.00
Element x y z (fractional)
Ac (0.5000, 0.5000, 0.5000)
Ag (0.5000, 0.0000, 0.0000)
Te (0.0000, 0.0000, 0.5000)
Te (0.0000, 0.5000, 0.0000)

## Properties
- formation energy without anion corrections (kJ per mole of atoms) = -78.8
- distance to the lowest polymorph of the same formula (meV/atom) = 244
- Fermi-level density of states (states/eV/f.u.) = 2.034
- symmetry = P4/mmm, No. 123

=====

Here is crystalline Mn2ReSi at its relaxed geometry from Alexandria via LeMat-Bulk. Energies are from PBE-GGA.

abc: 2.8392 2.8392 5.9036
angles: 90.00 90.00 90.00
Element x y z (fractional)
Re (0.5000, 0.5000, 0.2500)
Si (0.5000, 0.5000, 0.7500)
Mn (0.0000, 0.0000, 0.9814)
Mn (0.0000, 0.0000, 0.5186)

## Properties
- formation energy without anion corrections (kJ per mole of atoms) = -20.1
- Fermi-level density of states (states/eV/f.u.) = 3.317
- symmetry = P4/mmm, No. 123

=====

Here is crystalline Tc2NiTe at its relaxed geometry from Alexandria via LeMat-Bulk. Energies are from PBE-GGA.

abc: 4.7028 3.8364 3.7580
angles: 88.79 90.00 90.00
Element x y z (fractional)
Te (0.5000, 0.2500, 0.2500)
Tc (0.0000, 0.4827, 0.5619)
Tc (0.0000, 0.0173, 0.9381)
Ni (0.5000, 0.7500, 0.7500)

## Properties
- formation energy without anion corrections (kJ per mole of atoms) = 41.0
- Fermi-level density of states (states/eV/f.u.) = 3.583
- symmetry = P2/m, No. 10

=====

Here is crystalline ThAsI at its relaxed geometry from Alexandria via LeMat-Bulk. Energies are from PBE-GGA.

abc: 3.9217 3.9217 6.3105
angles: 108.10 108.10 90.00
Element x y z (fractional)
I (0.0064, 0.0064, 0.0129)
As (0.2966, 0.2966, 0.5933)
Th (0.6969, 0.6969, 0.3938)

## Properties
- formation energy without anion corrections (kJ per mole of atoms) = -85.1
- distance to the lowest polymorph of the same formula (meV/atom) = 216
- Fermi-level density of states (states/eV/f.u.) = 1.494
- symmetry = I4mm, No. 107

=====

Here is crystalline Tb2Nd3Er2 at its relaxed geometry from Alexandria via LeMat-Bulk. Energies are from PBE-GGA.

abc: 3.5993 11.3592 6.2320
angles: 100.70 73.24 108.43
Element x y z (fractional)
Tb (0.8566, 0.1417, 0.5699)
Tb (0.1434, 0.8583, 0.4301)
Er (0.7115, 0.2841, 0.1452)
Er (0.2885, 0.7159, 0.8548)
Nd (0.4298, 0.5717, 0.2844)
Nd (0.0000, 0.0000, 0.0000)
Nd (0.5702, 0.4283, 0.7156)

## Properties
- energy of formation from the pure elements (eV/atom) = 0.02
- distance to the lowest polymorph of the same formula (meV/atom) = 0
- Fermi-level density of states (states/eV/f.u.) = 9.344
- symmetry = C2/m, No. 12

=====

Here is crystalline LiZrFe2 at its relaxed geometry from Alexandria via LeMat-Bulk. Energies are from PBE-GGA.

abc: 2.8255 2.8255 7.5196
angles: 90.00 90.00 89.97
Element x y z (fractional)
Fe (0.0000, 0.0000, 0.4731)
Fe (0.0000, 0.0000, 0.0269)
Zr (0.5000, 0.5000, 0.7500)
Li (0.5000, 0.5000, 0.2500)

## Properties
- energy of formation from the pure elements (eV/atom) = 0.35
- Fermi-level density of states (states/eV/f.u.) = 4.172
- symmetry = P4/mmm, No. 123

=====

Here is crystalline Ac3TlCu at its relaxed geometry from Alexandria via LeMat-Bulk. Energies are from PBE-GGA.

abc: 4.1142 9.2047 9.5619
angles: 101.91 90.00 90.00
Element x y z (fractional)
Cu (0.7500, 0.0502, 0.5724)
Cu (0.2500, 0.9498, 0.4276)
Tl (0.2500, 0.3926, 0.2447)
Tl (0.7500, 0.6074, 0.7553)
Ac (0.7500, 0.3096, 0.9372)
Ac (0.2500, 0.9375, 0.7745)
Ac (0.7500, 0.6901, 0.4156)
Ac (0.7500, 0.0625, 0.2255)
Ac (0.2500, 0.6904, 0.0628)
Ac (0.2500, 0.3099, 0.5844)

## Properties
- energy of formation from the pure elements (eV/atom) = -0.17
- distance to the lowest polymorph of the same formula (meV/atom) = 5
- Fermi-level density of states (states/eV/f.u.) = 5.018
- symmetry = P2_1/m, No. 11

=====

Here is crystalline Pm12Y2Tm5 at its relaxed geometry from Alexandria via LeMat-Bulk. Energies are from PBE-GGA.

abc: 11.6626 10.6802 6.2003
angles: 100.56 90.00 123.09
Element x y z (fractional)
Pm (0.3514, 0.2084, 0.6143)
Pm (0.0608, 0.6049, 0.8012)
Pm (0.4559, 0.3951, 0.1988)
Pm (0.8778, 0.7556, 0.0006)
Pm (0.1430, 0.7916, 0.3857)
Pm (0.1222, 0.2444, 0.9994)
Pm (0.6486, 0.7916, 0.3857)
Pm (0.8570, 0.2084, 0.6143)
Pm (0.5571, 0.1142, 0.2747)
Pm (0.5441, 0.6049, 0.8012)
Pm (0.9392, 0.3951, 0.1988)
Pm (0.4429, 0.8858, 0.7253)
Y (0.2289, 0.0000, 0.0000)
Y (0.7711, 0.0000, 0.0000)
Tm (0.0000, 0.0000, 0.5000)
Tm (0.2160, 0.4320, 0.5509)
Tm (0.6770, 0.3540, 0.8602)
Tm (0.7840, 0.5680, 0.4491)
Tm (0.3230, 0.6460, 0.1398)

## Properties
- energy of formation from the pure elements (eV/atom) = 0.10
- distance to the lowest polymorph of the same formula (meV/atom) = 0
- Fermi-level density of states (states/eV/f.u.) = 27.072
- symmetry = C2/m, No. 12

=====

Here is crystalline HfBiOF2 at its relaxed geometry from Alexandria via LeMat-Bulk. Energies are from PBE-GGA.

abc: 4.4743 4.4743 4.0369
angles: 90.00 90.00 90.00
Element x y z (fractional)
Hf (0.0000, 0.0000, 0.0000)
Bi (0.5000, 0.5000, 0.5000)
F (0.5000, 0.0000, 0.0000)
F (0.0000, 0.5000, 0.0000)
O (0.0000, 0.0000, 0.5000)

## Properties
- formation energy without anion corrections (kJ per mole of atoms) = -200.7
- distance to the lowest polymorph of the same formula (meV/atom) = 0
- Fermi-level density of states (states/eV/f.u.) = 4.540
- symmetry = P4/mmm, No. 123

=====

Here is crystalline CaPIrCl2 at its relaxed geometry from Alexandria via LeMat-Bulk. Energies are from PBE-GGA.

abc: 5.0569 5.0569 4.5115
angles: 90.00 90.00 90.00
Element x y z (fractional)
Ca (0.5000, 0.5000, 0.5000)
Ir (0.0000, 0.0000, 0.0000)
Cl (0.5000, 0.0000, 0.0000)
Cl (0.0000, 0.5000, 0.0000)
P (0.0000, 0.0000, 0.5000)

## Properties
- formation energy without anion corrections (kJ per mole of atoms) = -45.1
- distance to the lowest polymorph of the same formula (meV/atom) = 0
- Fermi-level density of states (states/eV/f.u.) = 3.750
- symmetry = P4/mmm, No. 123

=====

Here is crystalline YHo4Sc at its relaxed geometry from Alexandria via LeMat-Bulk. Energies are from PBE-GGA.

abc: 3.5669 5.5325 9.4257
angles: 90.00 100.92 90.00
Element x y z (fractional)
Ho (0.9453, 0.0027, 0.1362)
Ho (0.2836, 0.0027, 0.8129)
Ho (0.7284, 0.5027, 0.7024)
Ho (0.0557, 0.5027, 0.3572)
Sc (0.3920, 0.5027, 0.0293)
Y (0.6139, 0.0027, 0.4731)

## Properties
- energy of formation from the pure elements (eV/atom) = 0.02
- distance to the lowest polymorph of the same formula (meV/atom) = 0
- Fermi-level density of states (states/eV/f.u.) = 10.465
- symmetry = Amm2, No. 38

=====

Here is crystalline YPdAu at its relaxed geometry from Alexandria via LeMat-Bulk. Energies are from PBE-GGA.

abc: 4.4685 5.7817 9.6353
angles: 90.00 90.00 90.00
Element x y z (fractional)
Y (0.0002, 0.0001, 0.5605)
Y (0.5002, 0.4999, 0.4395)
Y (0.4998, 0.9999, 0.0605)
Y (0.9998, 0.5001, 0.9395)
Au (0.9999, 0.0001, 0.8653)
Au (0.0001, 0.5001, 0.6347)
Au (0.4999, 0.4999, 0.1347)
Au (0.5001, 0.9999, 0.3653)
Pd (0.0000, 0.2497, 0.2499)
Pd (0.5000, 0.7503, 0.7499)
Pd (0.0000, 0.7497, 0.2501)
Pd (0.5000, 0.2503, 0.7501)

## Properties
- energy of formation from the pure elements (eV/atom) = -0.83
- Fermi-level density of states (states/eV/f.u.) = 1.726
- symmetry = Cmcm, No. 63

=====

Here is crystalline Ba3Li2Ag3 at its relaxed geometry from Alexandria via LeMat-Bulk. Energies are from PBE-GGA.

abc: 6.9155 8.8410 16.8812
angles: 90.00 90.00 90.00
Element x y z (fractional)
Ag (0.5901, 0.3191, 0.7500)
Ag (0.6004, 0.3270, 0.0413)
Ag (0.0901, 0.1809, 0.2500)
Ag (0.4099, 0.6809, 0.2500)
Ag (0.8996, 0.8270, 0.0413)
Ag (0.1004, 0.1730, 0.9587)
Ag (0.9099, 0.8191, 0.7500)
Ag (0.8996, 0.8270, 0.4587)
Ag (0.3996, 0.6730, 0.5413)
Ag (0.3996, 0.6730, 0.9587)
Ag (0.6004, 0.3270, 0.4587)
Ag (0.1004, 0.1730, 0.5413)
Ba (0.8537, 0.5296, 0.8946)
Ba (0.8537, 0.5296, 0.6054)
Ba (0.6463, 0.0296, 0.8946)
Ba (0.3537, 0.9704, 0.1054)
Ba (0.1463, 0.4704, 0.3946)
Ba (0.6230, 0.3300, 0.2500)
Ba (0.1463, 0.4704, 0.1054)
Ba (0.8770, 0.8300, 0.2500)
Ba (0.3770, 0.6700, 0.7500)
Ba (0.6463, 0.0296, 0.6054)
Ba (0.1230, 0.1700, 0.7500)
Ba (0.3537, 0.9704, 0.3946)
Li (0.8720, 0.1250, 0.4093)
Li (0.3720, 0.3750, 0.5907)
Li (0.3720, 0.3750, 0.9093)
Li (0.1280, 0.8750, 0.5907)
Li (0.8720, 0.1250, 0.0907)
Li (0.6280, 0.6250, 0.0907)
Li (0.1280, 0.8750, 0.9093)
Li (0.6280, 0.6250, 0.4093)

## Properties
- energy of formation from the pure elements (eV/atom) = -0.20
- Fermi-level density of states (states/eV/f.u.) = 4.024
- symmetry = Pnma, No. 62

=====

Here is crystalline K2ReP at its relaxed geometry from Alexandria via LeMat-Bulk. Energies are from PBE-GGA.

abc: 5.1422 7.0775 7.7661
angles: 35.18 90.00 90.00
Element x y z (fractional)
P (0.5000, 0.2500, 0.2500)
K (0.0000, 0.3298, 0.4268)
K (0.0000, 0.1702, 0.0732)
Re (0.5000, 0.7500, 0.7500)

## Properties
- energy of formation from the pure elements (eV/atom) = 0.61
- distance to the lowest polymorph of the same formula (meV/atom) = 430
- Fermi-level density of states (states/eV/f.u.) = 2.587
- symmetry = P2/m, No. 10

=====

Here is crystalline In2SnHOs at its relaxed geometry from Alexandria via LeMat-Bulk. Energies are from PBE-GGA.

abc: 5.1941 5.0551 5.1941
angles: 90.00 90.00 90.00
Element x y z (fractional)
Sn (0.0000, 0.5000, 0.0000)
In (0.5000, 0.0000, 0.0000)
In (0.0000, 0.0000, 0.5000)
Os (0.0000, 0.0000, 0.0000)
H (0.5000, 0.5000, 0.5000)

## Properties
- raw total energy (eV per atom) = -4.332
- Fermi-level density of states (states/eV/f.u.) = 2.271
- symmetry = P4/mmm, No. 123

=====

Here is crystalline AgPS2 at its relaxed geometry from Alexandria via LeMat-Bulk. Energies are from PBE-GGA.

abc: 4.1295 6.9680 6.1370
angles: 98.95 86.18 95.13
Element x y z (fractional)
Ag (0.1528, 0.6905, 0.7327)
Ag (0.0097, 0.1900, 0.7540)
S (0.0075, 0.9322, 0.0823)
S (0.5202, 0.9808, 0.5596)
S (0.0317, 0.4809, 0.3629)
S (0.5072, 0.4376, 0.8851)
P (0.4864, 0.5444, 0.2162)
P (0.5416, 0.8735, 0.2300)

## Properties
- formation energy without anion corrections (kJ per mole of atoms) = -3.8
- Fermi-level density of states (states/eV/f.u.) = 0.779
- symmetry = P1, No. 1

=====

Here is crystalline CaTlSe2 at its relaxed geometry from Alexandria via LeMat-Bulk. Energies are from PBE-GGA.

abc: 3.8753 3.8694 8.0176
angles: 61.17 90.00 90.00
Element x y z (fractional)
Tl (0.5000, 0.2500, 0.2500)
Ca (0.5000, 0.7500, 0.7500)
Se (0.0000, 0.0381, 0.9588)
Se (0.0000, 0.4619, 0.5412)

## Properties
- formation energy without anion corrections (kJ per mole of atoms) = -91.4
- Fermi-level density of states (states/eV/f.u.) = 1.640
- symmetry = P2/m, No. 10

=====

Here is crystalline MgBeFe2 at its relaxed geometry from Alexandria via LeMat-Bulk. Energies are from PBE-GGA.

abc: 4.7510 4.7510 4.7510
angles: 143.58 129.56 63.79
Element x y z (fractional)
Be (0.7500, 0.2500, 0.5000)
Mg (0.2500, 0.7500, 0.5000)
Fe (0.5215, 0.5215, 0.0000)
Fe (0.9785, 0.9785, 0.0000)

## Properties
- energy of formation from the pure elements (eV/atom) = 0.17
- distance to the lowest polymorph of the same formula (meV/atom) = 98
- Fermi-level density of states (states/eV/f.u.) = 2.732
- symmetry = Immm, No. 71

=====

Here is crystalline DyCd4Au5 at its relaxed geometry from Alexandria via LeMat-Bulk. Energies are from PBE-GGA.

abc: 3.4969 3.4969 16.6346
angles: 90.00 90.00 90.00
Element x y z (fractional)
Au (0.5000, 0.5000, 0.5000)
Au (0.5000, 0.5000, 0.3070)
Au (0.5000, 0.5000, 0.1068)
Au (0.5000, 0.5000, 0.6930)
Au (0.5000, 0.5000, 0.8932)
Cd (0.0000, 0.0000, 0.5968)
Cd (0.0000, 0.0000, 0.2085)
Cd (0.0000, 0.0000, 0.4032)
Cd (0.0000, 0.0000, 0.7915)
Dy (0.0000, 0.0000, 0.0000)

## Properties
- energy of formation from the pure elements (eV/atom) = -0.34
- Fermi-level density of states (states/eV/f.u.) = 3.118
- symmetry = P4/mmm, No. 123